# Ti8Ge2H3

A relaxed structure of Ti8Ge2H3 (PBE, the Alexandria database).

Mass density ... 4.8 Mg/m³
N(E_F) ... 13.64 states/eV per cell
E ... -6.56 eV per atom

```
Ti8Ge2H3
1.0
6.9933 -2.7162 0.0000
6.9933 2.7162 0.0000
-1.6315 0.0000 4.8206
Ti Ge H
8 2 3
Direct
0.0828 0.0828 0.2661
0.1664 0.6539 0.2445
0.2953 0.2953 0.6748
0.3461 0.8336 0.7555
0.6539 0.1664 0.2445
0.7047 0.7047 0.3252
0.8336 0.3461 0.7555
0.9172 0.9172 0.7339
0.2398 0.2398 0.1318
0.7602 0.7602 0.8682
0.0000 0.0000 0.5000
0.2348 0.7652 0.0000
0.7652 0.2348 0.0000
```

---

# SmThGaPd

A relaxed structure of SmThGaPd (PBE, the Alexandria database).

Mass density ... 9.5 Mg/m³
Formation enthalpy at 0 K ... -12.330 kcal/mol of atoms
N(E_F) ... 4.05 states/eV per cell

```
SmThGaPd
1.0
0.0000 3.6523 3.6523
3.6523 0.0000 3.6523
3.6523 3.6523 0.0000
Sm Th Ga Pd
1 1 1 1
Direct
0.0000 0.0000 0.0000
0.5000 0.5000 0.5000
0.2500 0.2500 0.2500
0.7500 0.7500 0.7500
```

---

Please write out number 2 again, unchanged.
# SmThGaPd

A relaxed structure of SmThGaPd (PBE, the Alexandria database).

Mass density ... 9.5 Mg/m³
Formation enthalpy at 0 K ... -12.330 kcal/mol of atoms
N(E_F) ... 4.05 states/eV per cell

```
SmThGaPd
1.0
0.0000 3.6523 3.6523
3.6523 0.0000 3.6523
3.6523 3.6523 0.0000
Sm Th Ga Pd
1 1 1 1
Direct
0.0000 0.0000 0.0000
0.5000 0.5000 0.5000
0.2500 0.2500 0.2500
0.7500 0.7500 0.7500
```

---

Copy entry 2 word for word.
# SmThGaPd

A relaxed structure of SmThGaPd (PBE, the Alexandria database).

Mass density ... 9.5 Mg/m³
Formation enthalpy at 0 K ... -12.330 kcal/mol of atoms
N(E_F) ... 4.05 states/eV per cell

```
SmThGaPd
1.0
0.0000 3.6523 3.6523
3.6523 0.0000 3.6523
3.6523 3.6523 0.0000
Sm Th Ga Pd
1 1 1 1
Direct
0.0000 0.0000 0.0000
0.5000 0.5000 0.5000
0.2500 0.2500 0.2500
0.7500 0.7500 0.7500
```